(1)
The following is a DFT calculation (GGA-PBE) of an optimized crystal structure of Cu3Ag2.

## Properties
Formation energy: 0.091 eV per atom
Polymorph energy (0 for the lowest one): 48.6 meV per atom

Cell: 6.0615 3.8603 6.1165 Å, 90.00 90.02 90.00°
With the nearest neighbours (Å) after each atom.
Positions (direct):
Cu1 0.0510 0.2500 0.1372  6 Cu 2.63-2.69, 6 Ag 2.66-2.90
Cu2 0.3459 0.7500 0.0459  8 Cu 2.62-2.74, 4 Ag 2.64-2.66
Cu3 0.4432 0.2500 0.3287  6 Cu 2.62-2.93, 6 Ag 2.66-2.84
Cu4 0.5568 0.7500 0.6713  6 Cu 2.62-2.93, 6 Ag 2.66-2.84
Cu5 0.6541 0.2500 0.9541  8 Cu 2.62-2.74, 4 Ag 2.64-2.66
Cu6 0.9490 0.7500 0.8628  6 Cu 2.63-2.69, 6 Ag 2.66-2.90
Ag1 0.1628 0.7500 0.4381  7 Cu 2.64-2.90, 5 Ag 2.81-2.86
Ag2 0.2629 0.2500 0.7572  9 Cu 2.66-2.84, 3 Ag 2.81-2.84
Ag3 0.7371 0.7500 0.2428  9 Cu 2.66-2.84, 3 Ag 2.81-2.84
Ag4 0.8372 0.2500 0.5619  7 Cu 2.64-2.90, 5 Ag 2.81-2.86

(2)
The following is a DFT calculation (GGA-PBE) of an optimized crystal structure of Cu4Ag3.

## Properties
Formation energy: 0.095 eV per atom
Polymorph energy (0 for the lowest one): 46.8 meV per atom

Cell: 10.0037 10.0037 10.0037 Å, 164.11 158.39 26.94°
With the nearest neighbours (Å) after each atom.
Positions (direct):
Cu1 0.0720 0.0720 0.0000  7 Cu 2.64-2.80, 5 Ag 2.65-2.72
Cu2 0.3642 0.3642 0.0000  6 Cu 2.64-2.77, 5 Ag 2.64-2.72
Cu3 0.6358 0.6358 0.0000  6 Cu 2.64-2.77, 5 Ag 2.64-2.72
Cu4 0.9280 0.9280 0.0000  7 Cu 2.64-2.80, 5 Ag 2.65-2.72
Ag1 0.2079 0.2079 0.0000  5 Cu 2.65-2.72, 6 Ag 2.77-2.85
Ag2 0.5000 0.5000 0.0000  10 Cu 2.64-2.72, 2 Ag 2.77
Ag3 0.7921 0.7921 0.0000  5 Cu 2.65-2.72, 6 Ag 2.77-2.85